La2PtRhN | PBE | relaxed

Structure (POSCAR):
```
La2PtRhN
1.0
5.188 0.000 0.000
0.000 5.188 0.000
0.000 0.000 3.889
La Pt Rh N
2 1 1 1
Direct
0.000 0.500 0.000
0.500 0.000 0.000
0.000 0.000 0.500
0.500 0.500 0.500
0.500 0.500 0.000
```

Results
Density in Mg/m³: 9.36
Calculated total energy in eV for the cell shown: -36.39
Raw formation energy in eV per formula unit: -4.8